1.
First-principles (PBE) data for a relaxed structure of RbMg3Te, as listed in Alexandria via LeMat-Bulk.

a = 6.576 Å, b = 6.576 Å, c = 6.576 Å
α = 90.00°, β = 90.00°, γ = 90.00°
Fractional positions:
Rb (0.000, 0.000, 0.000)
Mg (0.000, 0.000, 0.500)
Mg (0.000, 0.500, 0.000)
Mg (0.500, 0.000, 0.000)
Te (0.500, 0.500, 0.500)

Computed properties:
For the final energy, the calculation gives -0.798 eV per atom. The value obtained for the relative energy among the computed polymorphs is 0.760 eV per atom. The raw formation energy is 980.9 meV/atom. The calculated volume is 56.885 Å³ per atom.

2.
First-principles (PBE) data for a relaxed structure of Rb3ThMg2Te6, as listed in Alexandria via LeMat-Bulk.

a = 7.700 Å, b = 7.700 Å, c = 9.061 Å
α = 98.18°, β = 98.18°, γ = 120.03°
Fractional positions:
Rb (0.000, 0.000, 0.000)
Rb (0.336, 0.664, 0.000)
Rb (0.664, 0.336, 0.000)
Th (0.500, 0.500, 0.500)
Mg (0.167, 0.833, 0.500)
Mg (0.833, 0.167, 0.500)
Te (0.091, 0.435, 0.304)
Te (0.221, 0.221, 0.695)
Te (0.435, 0.091, 0.304)
Te (0.565, 0.909, 0.696)
Te (0.779, 0.779, 0.305)
Te (0.909, 0.565, 0.696)

Computed properties:
For the final energy, the calculation gives -3.661 eV per atom. The raw formation energy is -964.2 meV/atom. The calculated volume is 37.153 Å³ per atom.